#1
# Ho2InPb2 GGA-PBE relaxed
# Density ... 8.87 Mg/m³
# N(E_F) ... 29.6 states/eV per cell
data_Ho2InPb2
_chemical_formula_sum 'Ho16 In8 Pb16'
_cell_length_a 4.953
_cell_length_b 12.718
_cell_length_c 20.433
_cell_angle_alpha 90.00
_cell_angle_beta 90.00
_cell_angle_gamma 90.00
_space_group_name_H-M_alt 'F d d d'
_space_group_IT_number 70
loop_
_space_group_symop_operation_xyz
'x,y,z'
'-x,-y,-z'
'-x+1/4,-y+1/4,z'
'x+1/4,y+1/4,-z'
'x,-y+1/4,-z+1/4'
'-x,y+1/4,z+1/4'
'-x+1/4,y,-z+1/4'
'x+1/4,-y,z+1/4'
'x,y+1/2,z+1/2'
'-x,-y+1/2,-z+1/2'
'-x+1/4,-y+3/4,z+1/2'
'x+1/4,y+3/4,-z+1/2'
'x,-y+3/4,-z+3/4'
'-x,y+3/4,z+3/4'
'-x+1/4,y+1/2,-z+3/4'
'x+1/4,-y+1/2,z+3/4'
'x+1/2,y,z+1/2'
'-x+1/2,-y,-z+1/2'
'-x+3/4,-y+1/4,z+1/2'
'x+3/4,y+1/4,-z+1/2'
'x+1/2,-y+1/4,-z+3/4'
'-x+1/2,y+1/4,z+3/4'
'-x+3/4,y,-z+3/4'
'x+3/4,-y,z+3/4'
'x+1/2,y+1/2,z'
'-x+1/2,-y+1/2,-z'
'-x+3/4,-y+3/4,z'
'x+3/4,y+3/4,-z'
'x+1/2,-y+3/4,-z+1/4'
'-x+1/2,y+3/4,z+1/4'
'-x+3/4,y+1/2,-z+1/4'
'x+3/4,-y+1/2,z+1/4'
loop_
_atom_site_label
_atom_site_type_symbol
_atom_site_fract_x
_atom_site_fract_y
_atom_site_fract_z
Ho1 Ho 0.125 0.273 0.125
In1 In 0.125 0.125 0.625
Pb1 Pb 0.000 0.000 0.500



#2
# Ho2InPb2 GGA-PBE relaxed
# Density ... 9.07 Mg/m³
# N(E_F) ... 8.3 states/eV per cell
data_Ho2InPb2
_chemical_formula_sum 'Ho4 In2 Pb4'
_cell_length_a 5.066
_cell_length_b 17.305
_cell_length_c 3.588
_cell_angle_alpha 90.00
_cell_angle_beta 90.00
_cell_angle_gamma 90.00
_space_group_name_H-M_alt 'P b a m'
_space_group_IT_number 55
_space_group_name_Hall '-P 2 2ab'
loop_
_atom_site_label
_atom_site_type_symbol
_atom_site_fract_x
_atom_site_fract_y
_atom_site_fract_z
Ho1 Ho 0.002 0.180 0.000
In1 In 0.000 0.000 0.000
Pb1 Pb 0.002 0.361 0.500



The structure with the most favorable energy is #2; the runner-up is 0.167 eV/atom above it.